Here is crystalline La2Pr6Sm at its relaxed geometry from the Alexandria database. Energies are from PBE-GGA.

* offset from the most stable computed form: 482 meV per atom

Unit cell a=8.3299 b=8.3299 c=10.6882 alpha=90.00 beta=90.00 gamma=90.00
With the nearest neighbours (Å) after each atom.
Atoms (fractional coordinates):
Pr 0.7645 0.2355 0.8314  2 La 3.12-3.39, 1 Sm 3.31
Pr 0.7618 0.2382 0.5000  1 Sm 3.08, 2 La 3.23
Pr 0.2355 0.7645 0.8314  2 La 3.12-3.39, 1 Sm 3.31
Pr 0.2645 0.2645 0.6686  2 La 3.12-3.39, 1 Sm 3.31
Pr 0.7645 0.2355 0.1686  2 La 3.12-3.39, 1 Sm 3.31
Pr 0.7382 0.7382 0.0000  1 Sm 3.08, 2 La 3.23
Pr 0.2382 0.7618 0.5000  1 Sm 3.08, 2 La 3.23
Pr 0.2645 0.2645 0.3314  2 La 3.12-3.39, 1 Sm 3.31
La 0.5000 0.5000 0.8504  6 Pr 3.12-3.39, 1 La 3.20
La 0.0000 0.0000 0.6496  6 Pr 3.12-3.39, 1 La 3.20
Sm 0.5000 0.5000 0.5000  6 Pr 3.08-3.31
Sm 0.0000 0.0000 0.0000  6 Pr 3.08-3.31
La 0.5000 0.5000 0.1496  6 Pr 3.12-3.39, 1 La 3.20
Pr 0.2355 0.7645 0.1686  2 La 3.12-3.39, 1 Sm 3.31
La 0.0000 0.0000 0.3504  6 Pr 3.12-3.39, 1 La 3.20
Pr 0.7355 0.7355 0.3314  2 La 3.12-3.39, 1 Sm 3.31
Pr 0.7355 0.7355 0.6686  2 La 3.12-3.39, 1 Sm 3.31
Pr 0.2618 0.2618 0.0000  1 Sm 3.08, 2 La 3.23